1.
First-principles (PBE) data for a relaxed Hg5Te3 crystal, as listed in the Alexandria database.

Cell lengths 10.053, 10.053, 8.202 Å; angles 101.64, 101.64, 132.12 degrees
Positions (direct):
Hg1 0.701 0.603 0.304
Hg2 0.187 0.904 0.092
Hg3 0.103 0.201 0.304
Hg4 0.896 0.799 0.696
Hg5 0.258 0.759 0.500
Hg6 0.741 0.241 0.500
Hg7 0.404 0.687 0.091
Hg8 0.595 0.313 0.908
Hg9 0.298 0.397 0.696
Hg10 0.813 0.095 0.909
Te1 0.858 0.359 0.217
Te2 0.141 0.641 0.783
Te3 0.384 0.116 0.500
Te4 0.750 0.750 0.000
Te5 0.615 0.884 0.500
Te6 0.250 0.250 0.000

As for the density of states at the Fermi level: 1.7 states/eV/f.u. Its symmetry is Fmmm. The energy above the most stable polymorph in this dataset comes out at 4 meV/atom. The total energy comes out at -1.358 eV/atom.


2.
First-principles (PBE) data for a relaxed Ac8In2Pb crystal, as listed in the Alexandria database.

Cell lengths 5.669, 7.716, 10.863 Å; angles 102.67, 105.13, 90.00 degrees
Positions (direct):
Pb1 0.500 0.000 0.000
Ac1 0.023 0.765 0.045
Ac2 0.208 0.315 0.416
Ac3 0.593 0.463 0.187
Ac4 0.407 0.537 0.813
Ac5 0.977 0.235 0.955
Ac6 0.792 0.685 0.584
Ac7 0.661 0.975 0.322
Ac8 0.339 0.025 0.678
In1 0.815 0.258 0.629
In2 0.185 0.742 0.371

As for the density of states at the Fermi level: 11.8 states/eV/f.u. Its symmetry is C2/m. The calculation puts the energy of formation at -0.21 eV/atom. The total energy comes out at -4.034 eV/atom.


3.
First-principles (PBE) data for a relaxed U3Sn5S12 crystal, as listed in the Alexandria database.

Cell lengths 13.884, 13.884, 13.884 Å; angles 109.47, 109.47, 109.47 degrees
Positions (direct):
S1 0.329 0.554 0.413
S2 0.087 0.916 0.141
S3 0.554 0.225 0.141
S4 0.775 0.446 0.359
S5 0.641 0.587 0.916
S6 0.359 0.946 0.775
S7 0.329 0.775 0.416
S8 0.413 0.359 0.584
S9 0.359 0.413 0.084
S10 0.859 0.275 0.446
S11 0.829 0.916 0.275
S12 0.946 0.359 0.275
S13 0.587 0.946 0.671
S14 0.084 0.913 0.359
S15 0.171 0.084 0.725
S16 0.671 0.446 0.587
S17 0.775 0.329 0.916
S18 0.641 0.054 0.225
S19 0.554 0.329 0.913
S20 0.859 0.584 0.913
S21 0.916 0.829 0.775
S22 0.225 0.554 0.641
S23 0.141 0.416 0.087
S24 0.446 0.671 0.087
S25 0.587 0.641 0.416
S26 0.084 0.171 0.225
S27 0.141 0.725 0.554
S28 0.054 0.641 0.725
S29 0.275 0.859 0.946
S30 0.171 0.087 0.946
S31 0.913 0.084 0.859
S32 0.446 0.775 0.859
S33 0.225 0.671 0.084
S34 0.584 0.725 0.671
S35 0.725 0.584 0.171
S36 0.829 0.913 0.054
S37 0.416 0.141 0.587
S38 0.671 0.225 0.584
S39 0.087 0.171 0.446
S40 0.916 0.087 0.641
S41 0.584 0.859 0.413
S42 0.725 0.141 0.054
S43 0.416 0.275 0.329
S44 0.946 0.587 0.171
S45 0.413 0.054 0.329
S46 0.275 0.416 0.829
S47 0.054 0.413 0.829
S48 0.913 0.829 0.554
U1 0.875 0.750 0.125
U2 0.750 0.375 0.125
U3 0.625 0.375 0.750
U4 0.250 0.625 0.875
U5 0.625 0.250 0.375
U6 0.875 0.125 0.250
U7 0.250 0.125 0.375
U8 0.375 0.750 0.625
U9 0.750 0.875 0.625
U10 0.125 0.875 0.750
U11 0.375 0.625 0.250
U12 0.125 0.250 0.875
Sn1 0.500 0.000 0.000
Sn2 0.750 0.125 0.875
Sn3 0.500 0.500 0.000
Sn4 0.000 0.000 0.000
Sn5 0.625 0.750 0.875
Sn6 0.125 0.375 0.250
Sn7 0.500 0.500 0.500
Sn8 0.375 0.250 0.125
Sn9 0.250 0.375 0.625
Sn10 0.500 0.000 0.500
Sn11 0.250 0.875 0.125
Sn12 0.000 0.000 0.500
Sn13 0.125 0.750 0.375
Sn14 0.375 0.125 0.750
Sn15 0.000 0.500 0.000
Sn16 0.875 0.250 0.625
Sn17 0.750 0.625 0.375
Sn18 0.000 0.500 0.500
Sn19 0.875 0.625 0.750
Sn20 0.625 0.875 0.250

As for the density of states at the Fermi level: 26.9 states/eV/f.u. Its symmetry is Ia-3d. The total energy comes out at -5.821 eV/atom.


4.
First-principles (PBE) data for a relaxed VCo8Ni2 crystal, as listed in the Alexandria database.

Cell lengths 4.253, 4.925, 6.909 Å; angles 111.11, 107.94, 89.96 degrees
Positions (direct):
Co1 0.745 0.500 0.000
Co2 0.135 0.368 0.271
Co3 0.136 0.903 0.272
Co4 0.303 0.803 0.605
Co5 0.255 0.500 0.000
Co6 0.864 0.097 0.728
Co7 0.865 0.632 0.729
Co8 0.697 0.197 0.395
Ni1 0.683 0.682 0.366
Ni2 0.317 0.318 0.634
V1 0.500 0.000 0.000

As for the density of states at the Fermi level: 10.3 states/eV/f.u. Its symmetry is C2/m. The calculation puts the energy of formation at 0.15 eV/atom. The total energy comes out at -6.899 eV/atom.


5.
First-principles (PBE) data for a relaxed LaAl4Fe9 crystal, as listed in the Alexandria database.

Cell lengths 8.188, 8.188, 8.237 Å; angles 119.80, 119.80, 90.00 degrees
Positions (direct):
Al1 0.308 0.808 0.247
Al2 0.808 0.939 0.247
Al3 0.561 0.692 0.753
Al4 0.939 0.439 0.247
Al5 0.192 0.061 0.753
Al6 0.439 0.308 0.247
Al7 0.061 0.561 0.753
Al8 0.692 0.192 0.753
Fe1 0.566 0.066 0.348
Fe2 0.719 0.434 0.652
Fe3 0.219 0.719 0.652
Fe4 0.797 0.060 0.000
Fe5 0.000 0.500 0.000
Fe6 0.203 0.940 0.000
Fe7 0.781 0.281 0.348
Fe8 0.934 0.219 0.652
Fe9 0.297 0.440 0.000
Fe10 0.500 0.000 0.000
Fe11 0.066 0.781 0.348
Fe12 0.703 0.560 0.000
Fe13 0.940 0.797 0.000
Fe14 0.281 0.566 0.348
Fe15 0.440 0.703 0.000
Fe16 0.560 0.297 0.000
Fe17 0.434 0.934 0.652
Fe18 0.060 0.203 0.000
La1 0.750 0.750 0.500
La2 0.250 0.250 0.500

As for the density of states at the Fermi level: 10.7 states/eV/f.u. Its symmetry is I4/mcm. The calculation puts the energy of formation at -0.24 eV/atom. The total energy comes out at -7.103 eV/atom.


6.
First-principles (PBE) data for a relaxed Sc2ReP crystal, as listed in the Alexandria database.

Cell lengths 3.039, 3.039, 7.836 Å; angles 90.00, 90.00, 106.86 degrees
Positions (direct):
P1 0.500 0.500 0.500
Re1 0.500 0.500 0.000
Sc1 0.000 0.000 0.263
Sc2 0.000 0.000 0.737

As for the density of states at the Fermi level: 1.8 states/eV/f.u. Its symmetry is Cmmm. The calculation puts the energy of formation at -0.41 eV/atom. The total energy comes out at -8.036 eV/atom.


7.
First-principles (PBE) data for a relaxed TlZn2Re crystal, as listed in the Alexandria database.

Cell lengths 9.252, 9.252, 9.252 Å; angles 18.58, 18.58, 18.58 degrees
Positions (direct):
Tl1 0.750 0.750 0.750
Zn1 0.992 0.992 0.992
Zn2 0.250 0.250 0.250
Re1 0.508 0.508 0.508

As for the density of states at the Fermi level: 3.0 states/eV/f.u. Its symmetry is R3m. The calculation puts the energy of formation at 0.57 eV/atom. The energy above the most stable polymorph in this dataset comes out at 94 meV/atom. The total energy comes out at -3.775 eV/atom.


8.
First-principles (PBE) data for a relaxed CaLa2Hg crystal, as listed in the Alexandria database.

Cell lengths 3.816, 3.816, 9.193 Å; angles 90.00, 90.00, 90.00 degrees
Positions (direct):
Hg1 0.500 0.500 0.746
Ca1 0.000 0.000 0.549
La1 0.500 0.500 0.238
La2 0.000 0.000 0.966

As for the density of states at the Fermi level: 5.1 states/eV/f.u. Its symmetry is P4mm. The calculation puts the energy of formation at -0.25 eV/atom. The total energy comes out at -3.285 eV/atom.